VASP calculation (GGA+U) on a geometry-optimized MnBF3 structure.

```
data_MnBF3
_chemical_formula_sum 'Mn1 B1 F3'
_cell_length_a 4.151
_cell_length_b 4.151
_cell_length_c 4.151
_cell_angle_alpha 90.00
_cell_angle_beta 90.00
_cell_angle_gamma 90.00
_space_group_name_H-M_alt 'P m -3 m'
_space_group_IT_number 221
_space_group_name_Hall '-P 4 2 3'
loop_
_atom_site_label
_atom_site_fract_x
_atom_site_fract_y
_atom_site_fract_z
_atom_site_occupancy
Mn1 0.000 0.000 0.000 1
B1 0.500 0.500 0.500 1
F1 0.000 0.000 0.500 1
```

Computed properties:
As for the theoretical density: 2.85 g cm⁻³. For the relative energy among the computed polymorphs, the calculation gives 0.000 eV/atom.